# 1
First-principles (PBE with a Hubbard U) data for AcVSeO2 after structural relaxation, as listed in Alexandria.

## Properties
Space-group type: P4mm

Lattice parameters (Å, degrees): 4.080 4.080 5.831 90.00 90.00 90.00
Each line ends with the local moment (μB).
Atoms (fractional coordinates):
Ac 0.500 0.500 0.677  0.01
V 0.000 0.000 0.004  1.94
Se 0.000 0.000 0.445  -0.02
O 0.000 0.500 0.937  -0.03
O 0.500 0.000 0.937  -0.03

---

# 2
First-principles (PBE with a Hubbard U) data for Ac2VSe2O2 after structural relaxation, as listed in Alexandria.

## Properties
Space-group type: I4/mmm

Lattice parameters (Å, degrees): 4.291 4.291 8.392 104.81 104.81 90.00
Each line ends with the local moment (μB).
Atoms (fractional coordinates):
Ac 0.386 0.386 0.771  0.02
Ac 0.614 0.614 0.229  0.02
V 0.000 0.000 0.000  2.60
Se 0.175 0.175 0.351  -0.01
Se 0.825 0.825 0.649  -0.01
O 0.000 0.500 0.000  0.02
O 0.500 0.000 0.000  0.02

---

# 3
First-principles (PBE with a Hubbard U) data for AcVSe2O8 after structural relaxation, as listed in Alexandria.

## Properties
Space-group type: C2/m

Lattice parameters (Å, degrees): 5.130 7.097 7.556 44.76 70.16 68.81
Atoms (fractional coordinates):
Ac 0.500 0.500 0.500
V 0.000 0.000 0.000
Se 0.307 0.216 0.170
Se 0.693 0.784 0.830
O 0.942 0.358 0.758
O 0.677 0.504 0.142
O 0.058 0.642 0.242
O 0.323 0.496 0.858
O 0.635 0.993 0.213
O 0.365 0.007 0.787
O 0.159 0.993 0.213
O 0.841 0.007 0.787

---

no.,energy (eV/atom),size of the total moment (μB per atom)
1,-7.21,0.400
2,-6.93,0.429
3,-6.47,0.000